# 1
# RhSeBr2N

A geometry-optimized RhSeBr2N structure (PBE-GGA, the Alexandria database).

Geometry as POSCAR:
```
RhSeBr2N
1.0
5.0800 0.0000 0.0000
0.0000 5.0800 0.0000
0.0000 0.0000 4.7051
Rh Se Br N
1 1 2 1
direct
0.0000 0.0000 0.0000
0.0000 0.0000 0.5000
0.0000 0.5000 0.0000
0.5000 0.0000 0.0000
0.5000 0.5000 0.5000
```

Calculated values
The energy above the most stable polymorph in this dataset is 0.723 eV per formula unit. For the final energy, the calculation gives -0.2212 Ry/atom. The uncorrected formation energy comes out at 1.49 eV per atom. As for the space group: P4/mmm (123). Its total moment is 0.000 μB per atom.

***

# 2
# RhSeBr2N

A geometry-optimized RhSeBr2N structure (PBE-GGA, the Alexandria database).

Geometry as POSCAR:
```
RhSeBr2N
1.0
-3.7721 2.3781 0.2015
-2.3709 -3.6905 -0.8268
-0.2867 -0.8434 4.5867
Rh Se Br N
1 1 2 1
direct
0.5000 0.5000 0.5000
0.0000 0.0000 0.5000
0.0000 0.5000 0.0000
0.5000 0.0000 0.0000
0.0000 0.0000 0.0000
```

Calculated values
The energy above the most stable polymorph in this dataset is 0.000 eV per formula unit. For the final energy, the calculation gives -0.2318 Ry/atom. The uncorrected formation energy comes out at 1.35 eV per atom. As for the space group: P4/mmm (123). Its total moment is 0.340 μB per atom.